The following is a DFT calculation (PBEsol) of a relaxed Ba8Zr3Sb4O24 crystal.

Values from the calculation:
Total magnetization (μB per formula unit): 0.000
E_form (uncorrected) (eV per atom): -2.6377
Calculated volume (Å³/f.u.): 569

Cell and atoms, written as CIF:
```
data_Ba8Zr3Sb4O24
_space_group_name_H-M_alt 'P 1'
_space_group_IT_number 1
_cell_length_a 8.265
_cell_length_b 8.265
_cell_length_c 10.172
_cell_angle_alpha 113.97
_cell_angle_beta 113.97
_cell_angle_gamma 90.00
loop_
_space_group_symop_operation_xyz
'x,y,z'
loop_
_atom_site_label
_atom_site_type_symbol
_atom_site_fract_x
_atom_site_fract_y
_atom_site_fract_z
O1 O 0.248 0.500 0.000
O2 O 0.500 0.752 0.000
O3 O 0.124 0.624 0.248
O4 O 0.268 0.000 0.000
Zr1 Zr 0.750 0.250 0.500
O5 O 0.624 0.124 0.248
O6 O 0.497 0.744 0.488
O7 O 0.000 0.268 0.000
O8 O 0.744 0.497 0.488
Ba1 Ba 0.115 0.115 0.763
O9 O 0.256 0.503 0.512
O10 O 0.625 0.625 0.249
Ba2 Ba 0.648 0.115 0.763
Ba3 Ba 0.648 0.648 0.763
Ba4 Ba 0.352 0.885 0.237
O11 O 0.876 0.376 0.752
O12 O 0.000 0.732 0.000
Sb1 Sb 0.500 0.000 0.000
O13 O 0.376 0.876 0.752
Ba5 Ba 0.885 0.352 0.237
Ba6 Ba 0.352 0.352 0.237
O14 O 0.256 0.009 0.512
O15 O 0.500 0.248 0.000
O16 O 0.991 0.744 0.488
Sb2 Sb 0.000 0.500 0.000
O17 O 0.859 0.859 0.718
O18 O 0.141 0.141 0.282
O19 O 0.375 0.375 0.751
O20 O 0.744 0.991 0.488
Sb3 Sb 0.743 0.743 0.486
O21 O 0.009 0.256 0.512
Zr2 Zr 0.500 0.500 0.000
O22 O 0.752 0.500 0.000
Ba7 Ba 0.115 0.648 0.763
Ba8 Ba 0.885 0.885 0.237
O23 O 0.732 0.000 0.000
Zr3 Zr 0.250 0.750 0.500
Sb4 Sb 0.257 0.257 0.514
O24 O 0.503 0.256 0.512
```